P:
# Dy2Tm3Th4 (GGA-PBE, relaxed)
data_Dy2Tm3Th4
_chemical_formula_sum 'Dy4 Tm6 Th8'
_space_group_name_H-M_alt 'C 1 2/m 1'
_space_group_IT_number 12
_cell_length_a 15.088
_cell_length_b 5.008
_cell_length_c 7.918
_cell_angle_alpha 90.00
_cell_angle_beta 108.44
_cell_angle_gamma 90.00
loop_
_space_group_symop_operation_xyz
'x,y,z'
'-x,-y,-z'
'-x,y,-z'
'x,-y,z'
'x+1/2,y+1/2,z'
'-x+1/2,-y+1/2,-z'
'-x+1/2,y+1/2,-z'
'x+1/2,-y+1/2,z'
loop_
_atom_site_label
_atom_site_fract_x
_atom_site_fract_y
_atom_site_fract_z
_atom_site_occupancy
Dy1 0.167 0.000 0.002 1
Tm1 0.000 0.500 0.000 1
Tm2 0.110 0.500 0.664 1
Th1 0.058 0.000 0.334 1
Th2 0.221 0.500 0.337 1
# Total moment: 0.00 μB per cell


Q:
# Dy2Tm3Th4 (GGA-PBE, relaxed)
data_Dy2Tm3Th4
_chemical_formula_sum 'Dy4 Tm6 Th8'
_space_group_name_H-M_alt 'C 1 2/m 1'
_space_group_IT_number 12
_cell_length_a 12.780
_cell_length_b 3.586
_cell_length_c 14.050
_cell_angle_alpha 90.00
_cell_angle_beta 116.43
_cell_angle_gamma 90.00
loop_
_space_group_symop_operation_xyz
'x,y,z'
'-x,-y,-z'
'-x,y,-z'
'x,-y,z'
'x+1/2,y+1/2,z'
'-x+1/2,-y+1/2,-z'
'-x+1/2,y+1/2,-z'
'x+1/2,-y+1/2,z'
loop_
_atom_site_label
_atom_site_fract_x
_atom_site_fract_y
_atom_site_fract_z
_atom_site_occupancy
Dy1 0.168 0.000 0.208 1
Tm1 0.000 0.500 0.000 1
Tm2 0.115 0.000 0.610 1
Th1 0.126 0.500 0.404 1
Th2 0.147 0.000 0.877 1
# Total moment: 0.00 μB per cell


Quick one: most stable of them? P


P:
# Dy2Tm5Th2 (GGA-PBE, relaxed)
data_Dy2Tm5Th2
_chemical_formula_sum 'Dy4 Tm10 Th4'
_space_group_name_H-M_alt 'C 1 2/m 1'
_space_group_IT_number 12
_cell_length_a 14.195
_cell_length_b 3.571
_cell_length_c 11.563
_cell_angle_alpha 90.00
_cell_angle_beta 94.78
_cell_angle_gamma 90.00
loop_
_space_group_symop_operation_xyz
'x,y,z'
'-x,-y,-z'
'-x,y,-z'
'x,-y,z'
'x+1/2,y+1/2,z'
'-x+1/2,-y+1/2,-z'
'-x+1/2,y+1/2,-z'
'x+1/2,-y+1/2,z'
loop_
_atom_site_label
_atom_site_fract_x
_atom_site_fract_y
_atom_site_fract_z
_atom_site_occupancy
Dy1 0.075 0.000 0.336 1
Tm1 0.000 0.000 0.000 1
Tm2 0.111 0.500 0.815 1
Tm3 0.210 0.000 0.609 1
Th1 0.191 0.500 0.110 1
# Total moment: 0.00 μB per cell


Q:
# Dy2Tm5Th2 (GGA-PBE, relaxed)
data_Dy2Tm5Th2
_chemical_formula_sum 'Dy8 Tm20 Th8'
_space_group_name_H-M_alt 'I m a 2'
_space_group_IT_number 46
_cell_length_a 14.755
_cell_length_b 11.778
_cell_length_c 6.564
_cell_angle_alpha 90.00
_cell_angle_beta 90.00
_cell_angle_gamma 90.00
loop_
_space_group_symop_operation_xyz
'x,y,z'
'-x,-y,z'
'-x+1/2,y,z'
'x+1/2,-y,z'
'x+1/2,y+1/2,z+1/2'
'-x+1/2,-y+1/2,z+1/2'
'-x,y+1/2,z+1/2'
'x,-y+1/2,z+1/2'
loop_
_atom_site_label
_atom_site_fract_x
_atom_site_fract_y
_atom_site_fract_z
_atom_site_occupancy
Dy1 0.126 0.000 0.000 1
Tm1 0.053 0.244 0.340 1
Tm2 0.142 0.728 0.144 1
Tm3 0.250 0.235 0.149 1
Th1 0.000 0.000 0.536 1
Th2 0.250 0.502 0.963 1
# Total moment: 0.00 μB per cell


Quick one: most stable of them? P


P:
# Dy8Tm2Th (GGA-PBE, relaxed)
data_Dy8Tm2Th
_chemical_formula_sum 'Dy16 Tm4 Th2'
_space_group_name_H-M_alt 'C 1 2/m 1'
_space_group_IT_number 12
_cell_length_a 18.048
_cell_length_b 5.002
_cell_length_c 7.913
_cell_angle_alpha 90.00
_cell_angle_beta 105.30
_cell_angle_gamma 90.00
loop_
_space_group_symop_operation_xyz
'x,y,z'
'-x,-y,-z'
'-x,y,-z'
'x,-y,z'
'x+1/2,y+1/2,z'
'-x+1/2,-y+1/2,-z'
'-x+1/2,y+1/2,-z'
'x+1/2,-y+1/2,z'
loop_
_atom_site_label
_atom_site_fract_x
_atom_site_fract_y
_atom_site_fract_z
_atom_site_occupancy
Dy1 0.045 0.000 0.232 1
Dy2 0.091 0.500 0.954 1
Dy3 0.136 0.000 0.682 1
Dy4 0.181 0.500 0.409 1
Tm1 0.228 0.000 0.136 1
Th1 0.000 0.500 0.500 1
# Total moment: 0.00 μB per cell


Q:
# Dy8Tm2Th (GGA-PBE, relaxed)
data_Dy8Tm2Th
_chemical_formula_sum 'Dy16 Tm4 Th2'
_space_group_name_H-M_alt 'C 1 2/m 1'
_space_group_IT_number 12
_cell_length_a 10.151
_cell_length_b 13.192
_cell_length_c 5.353
_cell_angle_alpha 90.00
_cell_angle_beta 90.11
_cell_angle_gamma 90.00
loop_
_space_group_symop_operation_xyz
'x,y,z'
'-x,-y,-z'
'-x,y,-z'
'x,-y,z'
'x+1/2,y+1/2,z'
'-x+1/2,-y+1/2,-z'
'-x+1/2,y+1/2,-z'
'x+1/2,-y+1/2,z'
loop_
_atom_site_label
_atom_site_fract_x
_atom_site_fract_y
_atom_site_fract_z
_atom_site_occupancy
Dy1 0.000 0.246 0.000 1
Dy2 0.165 0.000 0.000 1
Dy3 0.165 0.367 0.501 1
Tm1 0.000 0.121 0.500 1
Th1 0.000 0.500 0.000 1
# Total moment: 0.00 μB per cell


Quick one: most stable of them? P